Record 1
The following is a DFT calculation (meta-GGA SCAN) of a crystal of Be5Pb relaxed with PBEsol.

Cell: 4.7427 4.7427 3.6775 Å, 90.00 90.00 120.00°
Space group P6/mmm (No. 191)
Asymmetric unit:
Be  0.0000  0.5000  0.0000 x3
Be  0.3333  0.6667  0.5000 x2
Pb  0.0000  0.0000  0.5000 x1

Properties
* offset from the most stable computed form: 3.42 kcal/mol of atoms
* energy relative to the elements: 467 meV per atom

Record 2
The following is a DFT calculation (meta-GGA SCAN) of a crystal of Be3Pb relaxed with PBEsol.

Cell: 6.610 10.103 3.550 Å, 90.00 90.00 90.00°
Space group Cmcm (No. 63)
Asymmetric unit:
Be  0.000  0.123  0.250 x4
Be  0.167  0.061  0.750 x8
Pb  0.000  0.340  0.750 x4

Properties
* offset from the most stable computed form: 0.00 kcal/mol of atoms
* energy relative to the elements: 515 meV per atom

Record 3
The following is a DFT calculation (meta-GGA SCAN) of a crystal of Be3Pb relaxed with PBEsol.

Cell: 7.9533 7.9533 3.2437 Å, 90.00 90.00 120.00°
Space group R-3m (No. 166, hexagonal axes)
Asymmetric unit:
Be  0.0000  0.5000  0.0000 x9
Pb  0.0000  0.0000  0.0000 x3

Properties
* offset from the most stable computed form: 9.30 kcal/mol of atoms
* energy relative to the elements: 918 meV per atom

Record 4
The following is a DFT calculation (meta-GGA SCAN) of a crystal of Be3Pb relaxed with PBEsol.

Cell: 4.670 4.670 4.670 Å, 90.00 90.00 90.00°
Space group Pm-3m (No. 221)
Asymmetric unit:
Be  0.000  0.000  0.500 x3
Pb  0.000  0.000  0.000 x1

Properties
* offset from the most stable computed form: 27.83 kcal/mol of atoms
* energy relative to the elements: 1722 meV per atom

Record 5
The following is a DFT calculation (meta-GGA SCAN) of a crystal of Be3Pb relaxed with PBEsol.

Cell: 3.8592 3.8592 4.6853 Å, 90.00 90.00 120.00°
Space group P-6m2 (No. 187)
Asymmetric unit:
Be  0.0000  0.0000  0.0000 x1
Be  0.6667  0.3333  0.2255 x2
Pb  0.0000  0.0000  0.5000 x1

Properties
* offset from the most stable computed form: 0.18 kcal/mol of atoms
* energy relative to the elements: 523 meV per atom

Record 6
The following is a DFT calculation (meta-GGA SCAN) of a crystal of Be5Pb relaxed with PBEsol.

Cell: 3.597 4.124 10.838 Å, 90.00 90.00 90.00°
Space group Imm2 (No. 44)
Asymmetric unit:
Be  0.000  0.000  0.000 x2
Be  0.000  0.000  0.179 x2
Be  0.000  0.255  0.597 x4
Be  0.000  0.500  0.089 x2
Pb  0.000  0.500  0.849 x2

Properties
* offset from the most stable computed form: 0.00 kcal/mol of atoms
* energy relative to the elements: 318 meV per atom

Record 7
The following is a DFT calculation (meta-GGA SCAN) of a crystal of Be2TePdPb relaxed with PBEsol.

Cell: 4.459 4.459 5.375 Å, 90.00 90.00 90.00°
Space group P4/mmm (No. 123)
Asymmetric unit:
Be  0.000  0.500  0.000 x2
Te  0.000  0.000  0.500 x1
Pd  0.500  0.500  0.000 x1
Pb  0.500  0.500  0.500 x1

Properties
* calculated total energy: -30.55 eV/atom

Record 8
The following is a DFT calculation (meta-GGA SCAN) of a crystal of BePt2Pb relaxed with PBEsol.

Cell: 5.632 6.123 3.695 Å, 90.00 90.00 90.00°
Space group Cmmm (No. 65)
Asymmetric unit:
Be  0.000  0.000  0.000 x2
Pt  0.250  0.250  0.500 x4
Pb  0.000  0.500  0.000 x2

Properties
* energy relative to the elements: 74 meV per atom

Record 9
The following is a DFT calculation (meta-GGA SCAN) of a crystal of Be2Pt2Pb relaxed with PBEsol.

Cell: 3.485 3.485 12.403 Å, 90.00 90.00 90.00°
Space group I4/mmm (No. 139)
Asymmetric unit:
Be  0.000  0.500  0.250 x4
Pt  0.000  0.000  0.127 x4
Pb  0.000  0.000  0.500 x2

Properties
* energy relative to the elements: -427 meV per atom

Record 10
The following is a DFT calculation (meta-GGA SCAN) of a crystal of BeReSiPb2 relaxed with PBEsol.

Cell: 5.274 5.274 4.522 Å, 90.00 90.00 90.00°
Space group P4/mmm (No. 123)
Asymmetric unit:
Be  0.000  0.000  0.000 x1
Re  0.500  0.500  0.000 x1
Si  0.500  0.500  0.500 x1
Pb  0.000  0.500  0.500 x2

Properties
* calculated total energy: -45.87 eV/atom

Record 11
The following is a DFT calculation (meta-GGA SCAN) of a crystal of BeRhPb3 relaxed with PBEsol.

Cell: 5.188 5.188 5.188 Å, 90.00 90.00 90.00°
Space group Pm-3m (No. 221)
Asymmetric unit:
Be  0.000  0.000  0.000 x1
Rh  0.500  0.500  0.500 x1
Pb  0.000  0.500  0.500 x3

Properties
* energy relative to the elements: 618 meV per atom

Record 12
The following is a DFT calculation (meta-GGA SCAN) of a crystal of BeRuPb relaxed with PBEsol.

Cell: 3.0684 3.0684 6.0664 Å, 90.00 90.00 120.00°
Space group P3m1 (No. 156)
Asymmetric unit:
Be  0.0000  0.0000  0.0000 x1
Ru  0.3333  0.6667  0.2371 x1
Pb  0.6667  0.3333  0.6055 x1

Properties
* offset from the most stable computed form: 3.34 kcal/mol of atoms
* energy relative to the elements: 523 meV per atom